# Tb2Nd3DyTe6 | Alexandria | GGA-PBE | relaxed
data_Tb2Nd3DyTe6
_symmetry_space_group_name_H-M 'C 1 2/m 1'
_symmetry_Int_Tables_number 12
_cell_length_a 19.391
_cell_length_b 4.392
_cell_length_c 8.951
_cell_angle_alpha 90.00
_cell_angle_beta 104.27
_cell_angle_gamma 90.00
loop_
_symmetry_equiv_pos_as_xyz
'x,y,z'
'-x,-y,-z'
'-x,y,-z'
'x,-y,z'
'x+1/2,y+1/2,z'
'-x+1/2,-y+1/2,-z'
'-x+1/2,y+1/2,-z'
'x+1/2,-y+1/2,z'
loop_
_atom_site_label
_atom_site_fract_x
_atom_site_fract_y
_atom_site_fract_z
_atom_site_occupancy
Tb1 0.167 0.000 0.334 1
Nd1 0.000 0.500 0.500 1
Nd2 0.167 0.000 0.833 1
Dy1 0.000 0.500 0.000 1
Te1 0.002 0.000 0.243 1
Te2 0.164 0.500 0.089 1
Te3 0.169 0.500 0.577 1
# M_tot	0.00	μB per atom
# formation energy (no corrections)	-1.36	eV per atom
# total DFT energy (no corrections)	-5.28	eV/atom



# SrLiTmSe3 | Alexandria | GGA-PBE | relaxed
data_SrLiTmSe3
_symmetry_space_group_name_H-M 'P 1 21/m 1'
_symmetry_Int_Tables_number 11
_cell_length_a 8.583
_cell_length_b 4.137
_cell_length_c 9.029
_cell_angle_alpha 90.00
_cell_angle_beta 104.07
_cell_angle_gamma 90.00
loop_
_symmetry_equiv_pos_as_xyz
'x,y,z'
'-x,-y,-z'
'-x,y+1/2,-z'
'x,-y+1/2,z'
loop_
_atom_site_label
_atom_site_fract_x
_atom_site_fract_y
_atom_site_fract_z
_atom_site_occupancy
Sr1 0.192 0.250 0.239 1
Li1 0.086 0.250 0.588 1
Tm1 0.329 0.750 0.837 1
Se1 0.110 0.250 0.870 1
Se2 0.219 0.750 0.517 1
Se3 0.442 0.750 0.164 1
# M_tot	0.00	μB per atom
# formation energy (no corrections)	-1.78	eV per atom
# total DFT energy (no corrections)	-4.87	eV/atom



# Pr2EuHo | Alexandria | GGA-PBE | relaxed
data_Pr2EuHo
_symmetry_space_group_name_H-M 'R -3 m'
_symmetry_Int_Tables_number 166
_symmetry_space_group_name_Hall '-R 3 2"'
_cell_length_a 3.6208
_cell_length_b 3.6208
_cell_length_c 38.5198
_cell_angle_alpha 90.00
_cell_angle_beta 90.00
_cell_angle_gamma 120.00
loop_
_atom_site_label
_atom_site_fract_x
_atom_site_fract_y
_atom_site_fract_z
_atom_site_occupancy
Pr1 0.0000 0.0000 0.0913 1
Eu1 0.0000 0.0000 0.0000 1
Ho1 0.0000 0.0000 0.5000 1
# M_tot	1.99	μB per atom
# total DFT energy (no corrections)	-5.97	eV/atom



# CoGe2HRu | Alexandria | GGA-PBE | relaxed
data_CoGe2HRu
_symmetry_space_group_name_H-M 'P 4/m m m'
_symmetry_Int_Tables_number 123
_symmetry_space_group_name_Hall '-P 4 2'
_cell_length_a 4.356
_cell_length_b 4.356
_cell_length_c 4.835
_cell_angle_alpha 90.00
_cell_angle_beta 90.00
_cell_angle_gamma 90.00
loop_
_atom_site_label
_atom_site_fract_x
_atom_site_fract_y
_atom_site_fract_z
_atom_site_occupancy
Co1 0.000 0.000 0.000 1
Ge1 0.000 0.500 0.000 1
H1 0.500 0.500 0.500 1
Ru1 0.000 0.000 0.500 1
# M_tot	0.73	μB per atom
# total DFT energy (no corrections)	-4.71	eV/atom



# NiTeRu4 | Alexandria | GGA-PBE | relaxed
data_NiTeRu4
_symmetry_space_group_name_H-M 'F -4 3 m'
_symmetry_Int_Tables_number 216
_symmetry_space_group_name_Hall 'F -4 2 3'
_cell_length_a 7.310
_cell_length_b 7.310
_cell_length_c 7.310
_cell_angle_alpha 90.00
_cell_angle_beta 90.00
_cell_angle_gamma 90.00
loop_
_atom_site_label
_atom_site_fract_x
_atom_site_fract_y
_atom_site_fract_z
_atom_site_occupancy
Ni1 0.000 0.000 0.000 1
Te1 0.250 0.250 0.250 1
Ru1 0.126 0.126 0.626 1
# M_tot	0.67	μB per atom
# formation energy (no corrections)	0.75	eV per atom
# total DFT energy (no corrections)	-6.92	eV/atom



# Ag2PCl | Alexandria | GGA-PBE | relaxed
data_Ag2PCl
_symmetry_space_group_name_H-M 'C m m m'
_symmetry_Int_Tables_number 65
_symmetry_space_group_name_Hall '-C 2 2'
_cell_length_a 3.543
_cell_length_b 5.760
_cell_length_c 7.750
_cell_angle_alpha 90.00
_cell_angle_beta 90.00
_cell_angle_gamma 90.00
loop_
_atom_site_label
_atom_site_fract_x
_atom_site_fract_y
_atom_site_fract_z
_atom_site_occupancy
Ag1 0.000 0.000 0.236 1
P1 0.000 0.500 0.000 1
Cl1 0.000 0.500 0.500 1
# M_tot	0.00	μB per atom
# formation energy (no corrections)	0.14	eV per atom
# total DFT energy (no corrections)	-3.10	eV/atom



# Ta2AsSe | Alexandria | GGA-PBE | relaxed
data_Ta2AsSe
_symmetry_space_group_name_H-M 'P m m m'
_symmetry_Int_Tables_number 47
_cell_length_a 3.336
_cell_length_b 4.130
_cell_length_c 5.203
_cell_angle_alpha 90.00
_cell_angle_beta 90.00
_cell_angle_gamma 90.00
loop_
_symmetry_equiv_pos_as_xyz
'x,y,z'
'-x,-y,-z'
'-x,-y,z'
'x,y,-z'
'x,-y,-z'
'-x,y,z'
'-x,y,-z'
'x,-y,z'
loop_
_atom_site_label
_atom_site_fract_x
_atom_site_fract_y
_atom_site_fract_z
_atom_site_occupancy
Ta1 0.000 0.000 0.000 1
Ta2 0.500 0.000 0.500 1
As1 0.000 0.500 0.500 1
Se1 0.500 0.500 0.000 1
# M_tot	0.00	μB per atom
# formation energy (no corrections)	0.17	eV per atom
# total DFT energy (no corrections)	-7.79	eV/atom



# MgSc2Au3 | Alexandria | GGA-PBE | relaxed
data_MgSc2Au3
_symmetry_space_group_name_H-M 'P -3 m 1'
_symmetry_Int_Tables_number 164
_symmetry_space_group_name_Hall '-P 3 2"'
_cell_length_a 4.7681
_cell_length_b 4.7681
_cell_length_c 11.6818
_cell_angle_alpha 90.00
_cell_angle_beta 90.00
_cell_angle_gamma 120.00
loop_
_atom_site_label
_atom_site_fract_x
_atom_site_fract_y
_atom_site_fract_z
_atom_site_occupancy
Mg1 0.3333 0.6667 0.1669 1
Sc1 0.0000 0.0000 0.0000 1
Sc2 0.0000 0.0000 0.5000 1
Sc3 0.3333 0.6667 0.6747 1
Au1 0.0000 0.0000 0.2512 1
Au2 0.3333 0.6667 0.4251 1
Au3 0.3333 0.6667 0.9203 1
# M_tot	0.00	μB per atom
# total DFT energy (no corrections)	-4.78	eV/atom



# ScPa2Co2 | Alexandria | GGA-PBE | relaxed
data_ScPa2Co2
_symmetry_space_group_name_H-M 'P 4/m b m'
_symmetry_Int_Tables_number 127
_symmetry_space_group_name_Hall '-P 4 2ab'
_cell_length_a 7.334
_cell_length_b 7.334
_cell_length_c 3.509
_cell_angle_alpha 90.00
_cell_angle_beta 90.00
_cell_angle_gamma 90.00
loop_
_atom_site_label
_atom_site_fract_x
_atom_site_fract_y
_atom_site_fract_z
_atom_site_occupancy
Sc1 0.000 0.000 0.000 1
Pa1 0.171 0.329 0.500 1
Co1 0.132 0.632 0.000 1
# M_tot	0.00	μB per atom
# total DFT energy (no corrections)	-8.24	eV/atom



# Tb2Al2CdPd5 | Alexandria | GGA-PBE | relaxed
data_Tb2Al2CdPd5
_symmetry_space_group_name_H-M 'P 4/m b m'
_symmetry_Int_Tables_number 127
_symmetry_space_group_name_Hall '-P 4 2ab'
_cell_length_a 10.056
_cell_length_b 10.056
_cell_length_c 3.674
_cell_angle_alpha 90.00
_cell_angle_beta 90.00
_cell_angle_gamma 90.00
loop_
_atom_site_label
_atom_site_fract_x
_atom_site_fract_y
_atom_site_fract_z
_atom_site_occupancy
Tb1 0.179 0.321 0.000 1
Al1 0.118 0.618 0.000 1
Cd1 0.000 0.000 0.000 1
Pd1 0.000 0.500 0.500 1
Pd2 0.066 0.786 0.500 1
# M_tot	0.00	μB per atom
# total DFT energy (no corrections)	-5.09	eV/atom



# Nd4Tl5In | Alexandria | GGA-PBE | relaxed
data_Nd4Tl5In
_symmetry_space_group_name_H-M 'C 1 2/m 1'
_symmetry_Int_Tables_number 12
_cell_length_a 18.066
_cell_length_b 5.094
_cell_length_c 6.718
_cell_angle_alpha 90.00
_cell_angle_beta 108.42
_cell_angle_gamma 90.00
loop_
_symmetry_equiv_pos_as_xyz
'x,y,z'
'-x,-y,-z'
'-x,y,-z'
'x,-y,z'
'x+1/2,y+1/2,z'
'-x+1/2,-y+1/2,-z'
'-x+1/2,y+1/2,-z'
'x+1/2,-y+1/2,z'
loop_
_atom_site_label
_atom_site_fract_x
_atom_site_fract_y
_atom_site_fract_z
_atom_site_occupancy
Nd1 0.087 0.000 0.336 1
Nd2 0.198 0.500 0.113 1
Tl1 0.000 0.500 0.500 1
Tl2 0.105 0.000 0.843 1
Tl3 0.205 0.500 0.611 1
In1 0.000 0.500 0.000 1
# M_tot	0.00	μB per atom
# total DFT energy (no corrections)	-3.72	eV/atom



# Ba3AlPb3 | Alexandria | GGA-PBE | relaxed
data_Ba3AlPb3
_symmetry_space_group_name_H-M 'C 1 2/m 1'
_symmetry_Int_Tables_number 12
_cell_length_a 13.001
_cell_length_b 5.212
_cell_length_c 16.721
_cell_angle_alpha 90.00
_cell_angle_beta 110.03
_cell_angle_gamma 90.00
loop_
_symmetry_equiv_pos_as_xyz
'x,y,z'
'-x,-y,-z'
'-x,y,-z'
'x,-y,z'
'x+1/2,y+1/2,z'
'-x+1/2,-y+1/2,-z'
'-x+1/2,y+1/2,-z'
'x+1/2,-y+1/2,z'
loop_
_atom_site_label
_atom_site_fract_x
_atom_site_fract_y
_atom_site_fract_z
_atom_site_occupancy
Ba1 0.023 0.000 0.387 1
Ba2 0.100 0.000 0.921 1
Ba3 0.235 0.000 0.234 1
Al1 0.223 0.500 0.391 1
Pb1 0.027 0.500 0.236 1
Pb2 0.112 0.500 0.078 1
Pb3 0.161 0.500 0.545 1
# M_tot	0.00	μB per atom
# total DFT energy (no corrections)	-3.42	eV/atom